DFT (PBE with a Hubbard U) results for a relaxed structure of CaMn2AsO6.

Cell lengths 5.327, 5.327, 5.715 Å; angles 62.21, 62.21, 60.01 degrees
Each line ends with the local moment (μB).
Atoms (fractional coordinates):
O 0.722 0.165 0.770  -0.09
O 0.232 0.908 0.221  -0.18
O 0.907 0.639 0.221  -0.18
O 0.165 0.343 0.770  -0.09
O 0.343 0.722 0.770  -0.09
O 0.639 0.232 0.221  -0.18
Mn 0.005 0.005 0.985  3.43
Mn 0.527 0.527 0.418  4.41
As 0.326 0.326 0.021  -0.16
Ca 0.794 0.794 0.618  0.00

SG ... R3, No. 146
E ... -68.28 eV for the cell shown